[1]
DFT (PBE-GGA) results for a geometry-optimized KLiAlO structure.

The structure in extended XYZ format:
```
4
Lattice="2.990 -0.002 0.007 0.002 4.881 -0.001 1.481 2.350 6.186" Properties=species:S:1:pos:R:3 pbc="T T T"
K 3.524 2.914 5.653
Li 3.532 4.945 2.727
Al 2.038 2.541 2.154
O 0.544 1.631 1.533
```

- Space group: Cm, No. 8

[2]
DFT (PBE-GGA) results for a geometry-optimized KLiAlO structure.

The structure in extended XYZ format:
```
4
Lattice="2.896 0.013 0.012 -0.030 5.188 -0.006 -0.003 -2.465 5.212" Properties=species:S:1:pos:R:3 pbc="T T T"
K 1.615 3.529 0.996
Li 0.184 0.812 3.101
Al 0.189 -1.630 4.266
O 1.634 -0.492 3.741
```

- Space group: P1, No. 1

| no. | density of states at the Fermi level (states/eV/f.u.) | calculated volume (Å³ per atom) | distance to the lowest polymorph of the same formula (eV/f.u.) |
| --- | --- | --- | --- |
| 1 | 0.8 | 22.55 | 0.071 |
| 2 | 0.9 | 19.57 | 0.161 |